Record 1
# Tm6MgIn6, relaxed, DFT PBE
# Density of states at the Fermi level in states/eV/atom: 0.813
# Calculated volume in Å³/atom: 27.3
# Energy of formation from the pure elements in eV/atom: -0.24
data_Tm6MgIn6
_cell_length_a 6.2640
_cell_length_b 6.2640
_cell_length_c 10.4410
_cell_angle_alpha 90.00
_cell_angle_beta 90.00
_cell_angle_gamma 120.00
_symmetry_space_group_name_H-M 'P 6/m m m'
_symmetry_Int_Tables_number 191
_symmetry_space_group_name_Hall '-P 6 2'
loop_
_atom_site_label
_atom_site_fract_x
_atom_site_fract_y
_atom_site_fract_z
Tm1 0.0000 0.0000 0.1709
Tm2 0.3333 0.6667 0.0000
Tm3 0.3333 0.6667 0.5000
Mg1 0.0000 0.0000 0.5000
In1 0.0000 0.5000 0.2518



Record 2
# TmMg2In4, relaxed, DFT PBE
# Density of states at the Fermi level in states/eV/atom: 0.511
# Calculated volume in Å³/atom: 26.2
# Energy of formation from the pure elements in eV/atom: -0.18
data_TmMg2In4
_cell_length_a 6.596
_cell_length_b 6.596
_cell_length_c 8.423
_cell_angle_alpha 90.00
_cell_angle_beta 90.00
_cell_angle_gamma 90.00
_symmetry_space_group_name_H-M 'I 4/m m m'
_symmetry_Int_Tables_number 139
_symmetry_space_group_name_Hall '-I 4 2'
loop_
_atom_site_label
_atom_site_fract_x
_atom_site_fract_y
_atom_site_fract_z
Tm1 0.000 0.000 0.000
Mg1 0.000 0.500 0.000
In1 0.250 0.250 0.250



Record 3
# Tm3MgIn2, relaxed, DFT PBE
# Density of states at the Fermi level in states/eV/atom: 0.754
# Calculated volume in Å³/atom: 25.7
# Energy of formation from the pure elements in eV/atom: -0.32
# Energy relative to the lowest polymorph listed for this composition in meV per atom: 15
data_Tm3MgIn2
_cell_length_a 3.706
_cell_length_b 3.706
_cell_length_c 11.222
_cell_angle_alpha 90.00
_cell_angle_beta 90.00
_cell_angle_gamma 90.00
_symmetry_space_group_name_H-M 'P 4/m m m'
_symmetry_Int_Tables_number 123
_symmetry_space_group_name_Hall '-P 4 2'
loop_
_atom_site_label
_atom_site_fract_x
_atom_site_fract_y
_atom_site_fract_z
Tm1 0.000 0.000 0.000
Tm2 0.000 0.000 0.337
Mg1 0.500 0.500 0.500
In1 0.500 0.500 0.173



Record 4
# TmMg8In6, relaxed, DFT PBE
# Density of states at the Fermi level in states/eV/atom: 0.565
# Calculated volume in Å³/atom: 26.3
# Energy of formation from the pure elements in eV/atom: -0.01
data_TmMg8In6
_cell_length_a 8.5875
_cell_length_b 8.5875
_cell_length_c 18.5043
_cell_angle_alpha 90.00
_cell_angle_beta 90.00
_cell_angle_gamma 120.00
_symmetry_space_group_name_H-M 'R -3'
_symmetry_Int_Tables_number 148
_symmetry_space_group_name_Hall '-R 3'
loop_
_atom_site_label
_atom_site_fract_x
_atom_site_fract_y
_atom_site_fract_z
Tm1 0.0000 0.0000 0.0000
Mg1 0.0000 0.0000 0.3331
Mg2 0.0006 0.6657 0.7797
In1 0.9998 0.3384 0.0602



Record 5
# Tm2Mg3In, relaxed, DFT PBE
# Density of states at the Fermi level in states/eV/atom: 0.716
# Calculated volume in Å³/atom: 25.1
# Energy of formation from the pure elements in eV/atom: -0.18
data_Tm2Mg3In
_cell_length_a 6.751
_cell_length_b 10.185
_cell_length_c 17.529
_cell_angle_alpha 90.00
_cell_angle_beta 90.00
_cell_angle_gamma 90.00
_symmetry_space_group_name_H-M 'F m m m'
_symmetry_Int_Tables_number 69
_symmetry_space_group_name_Hall '-F 2 2'
loop_
_atom_site_label
_atom_site_fract_x
_atom_site_fract_y
_atom_site_fract_z
Tm1 0.248 0.000 0.000
Tm2 0.250 0.250 0.250
Mg1 0.000 0.000 0.333
Mg2 0.000 0.250 0.083
In1 0.000 0.000 0.166



Record 6
# Tm2MgIn4, relaxed, DFT PBE
# Density of states at the Fermi level in states/eV/atom: 0.472
# Calculated volume in Å³/atom: 26.1
# Energy of formation from the pure elements in eV/atom: -0.25
data_Tm2MgIn4
_cell_length_a 8.805
_cell_length_b 9.233
_cell_length_c 4.502
_cell_angle_alpha 90.00
_cell_angle_beta 90.00
_cell_angle_gamma 90.00
_symmetry_space_group_name_H-M 'C m m m'
_symmetry_Int_Tables_number 65
_symmetry_space_group_name_Hall '-C 2 2'
loop_
_atom_site_label
_atom_site_fract_x
_atom_site_fract_y
_atom_site_fract_z
Tm1 0.228 0.000 0.000
Mg1 0.000 0.500 0.500
In1 0.000 0.259 0.000
In2 0.250 0.250 0.500



Record 7
# Tm8Mg2In, relaxed, DFT PBE
# Density of states at the Fermi level in states/eV/atom: 1.329
# Calculated volume in Å³/atom: 29.1
# Energy of formation from the pure elements in eV/atom: 0.08
data_Tm8Mg2In
_cell_length_a 8.690
_cell_length_b 14.984
_cell_length_c 5.426
_cell_angle_alpha 90.00
_cell_angle_beta 115.04
_cell_angle_gamma 90.00
_symmetry_space_group_name_H-M 'C 1 2/m 1'
_symmetry_Int_Tables_number 12
_symmetry_space_group_name_Hall '-C 2y'
loop_
_atom_site_label
_atom_site_fract_x
_atom_site_fract_y
_atom_site_fract_z
Tm1 0.000 0.212 0.000
Tm2 0.102 0.500 0.803
Tm3 0.211 0.113 0.624
Mg1 0.000 0.306 0.500
In1 0.000 0.000 0.000



Record 8
# TmMgIn, relaxed, DFT PBE
# Density of states at the Fermi level in states/eV/atom: 0.666
# Calculated volume in Å³/atom: 24.9
# Energy of formation from the pure elements in eV/atom: -0.20
data_TmMgIn
_cell_length_a 3.373
_cell_length_b 3.373
_cell_length_c 13.155
_cell_angle_alpha 90.00
_cell_angle_beta 90.00
_cell_angle_gamma 90.00
_symmetry_space_group_name_H-M 'I 4 m m'
_symmetry_Int_Tables_number 107
_symmetry_space_group_name_Hall 'I 4 -2'
loop_
_atom_site_label
_atom_site_fract_x
_atom_site_fract_y
_atom_site_fract_z
Tm1 0.000 0.000 0.000
Mg1 0.000 0.000 0.678
In1 0.000 0.000 0.332